! CrAsCl2 | the Alexandria database | SCAN | PBEsol geometry; values from VASP
! Space group: No. 65
! Raw formation energy in eV/atom: -0.42
! Mass density in g/cm3: 3.51
&SYSTEM
  ibrav = 0, nat = 4, ntyp = 3
/
ATOMIC_SPECIES
Cr 52.00 Cr.upf
As 74.92 As.upf
Cl 35.45 Cl.upf
CELL_PARAMETERS angstrom
3.202 0.000 0.000
-1.601 2.772 0.000
0.000 0.000 10.531
ATOMIC_POSITIONS crystal
Cr 0.500 0.000 0.500
As 0.500 0.000 0.000
Cl 0.000 0.000 0.657
Cl 0.000 0.000 0.343

***

! Cr3AsCl | the Alexandria database | SCAN | PBEsol geometry; values from VASP
! Space group: No. 221
! Raw formation energy in eV/atom: 0.13
! Mass density in g/cm3: 3.83
&SYSTEM
  ibrav = 0, nat = 5, ntyp = 3
/
ATOMIC_SPECIES
Cr 52.00 Cr.upf
As 74.92 As.upf
Cl 35.45 Cl.upf
CELL_PARAMETERS angstrom
-3.216 -2.790 2.362
-0.914 -2.433 -4.118
3.540 -3.164 1.083
ATOMIC_POSITIONS crystal
Cr 0.000 0.500 0.000
Cr 0.000 0.000 0.500
Cr 0.500 0.000 0.000
As 0.000 0.000 0.000
Cl 0.500 0.500 0.500

***

! CrAsCl2 | the Alexandria database | SCAN | PBEsol geometry; values from VASP
! Space group: No. 71
! Raw formation energy in eV/atom: -0.44
! Mass density in g/cm3: 3.75
&SYSTEM
  ibrav = 0, nat = 4, ntyp = 3
/
ATOMIC_SPECIES
Cr 52.00 Cr.upf
As 74.92 As.upf
Cl 35.45 Cl.upf
CELL_PARAMETERS angstrom
-1.541 -0.123 2.524
-1.758 -4.355 -1.286
6.357 -0.470 2.123
ATOMIC_POSITIONS crystal
Cr 0.500 0.000 0.000
As 0.000 0.500 0.000
Cl 0.851 0.851 0.701
Cl 0.149 0.149 0.299

***

! CrAsCl2 | the Alexandria database | SCAN | PBEsol geometry; values from VASP
! Space group: No. 69
! Raw formation energy in eV/atom: -0.21
! Mass density in g/cm3: 4.28
&SYSTEM
  ibrav = 0, nat = 4, ntyp = 3
/
ATOMIC_SPECIES
Cr 52.00 Cr.upf
As 74.92 As.upf
Cl 35.45 Cl.upf
CELL_PARAMETERS angstrom
4.312 0.021 0.000
-0.270 4.302 0.000
-2.021 -2.161 4.140
ATOMIC_POSITIONS crystal
Cr 0.500 0.000 0.000
As 0.000 0.500 0.000
Cl 0.000 0.000 0.500
Cl 0.500 0.500 0.500